No. 1
POsAu2 | PBE | relaxed

a = 3.766 Å, b = 3.766 Å, c = 9.294 Å
α = 90.00°, β = 90.00°, γ = 90.00°
Space group I4/mmm (No. 139)
Asymmetric unit:
P: 0.000 0.000 0.000
Os: 0.000 0.000 0.500
Au: 0.000 0.500 0.250

Calculated values
DOS(E_F) = 6.64 states/eV per cell
M_tot = 1.28 μB per formula unit
total DFT energy (no corrections) = -5.02 eV per atom

***

No. 2
POsAu3 | PBE | relaxed

a = 4.997 Å, b = 4.997 Å, c = 4.997 Å
α = 90.00°, β = 90.00°, γ = 90.00°
Space group Pm-3m (No. 221)
Asymmetric unit:
P: 0.000 0.000 0.000
Os: 0.500 0.500 0.500
Au: 0.000 0.500 0.500

Calculated values
energy above the most stable polymorph in this dataset = 514 meV per atom
DOS(E_F) = 4.49 states/eV per cell
M_tot = 0.07 μB per formula unit
total DFT energy (no corrections) = -3.60 eV per atom

***

- Look up the total DFT energy (no corrections) of the second one.
  -3.60 eV per atom